[1]
# Tb5Sc2Ge4, relaxed, DFT PBE-GGA
data_Tb5Sc2Ge4
_chemical_formula_sum 'Tb5 Sc2 Ge4'
_cell_length_a 10.536
_cell_length_b 10.536
_cell_length_c 7.110
_cell_angle_alpha 109.68
_cell_angle_beta 109.68
_cell_angle_gamma 22.79
_symmetry_space_group_name_H-M 'P 1'
_symmetry_Int_Tables_number 1
loop_
_symmetry_equiv_pos_as_xyz
'x,y,z'
loop_
_atom_site_label
_atom_site_fract_x
_atom_site_fract_y
_atom_site_fract_z
Tb1 0.000 0.000 0.000
Tb2 0.335 0.335 0.599
Tb3 0.336 0.336 0.071
Tb4 0.664 0.664 0.929
Tb5 0.665 0.665 0.401
Sc1 0.073 0.073 0.573
Sc2 0.927 0.927 0.427
Ge1 0.211 0.211 0.711
Ge2 0.500 0.500 0.301
Ge3 0.500 0.500 0.699
Ge4 0.789 0.789 0.289
# **Fermi-level density of states**: 9.582 states/eV/cell
# **Formation energy from the elements**: -0.5535 eV/atom
# **Uncorrected energy**: -5.49 eV per atom

[2]
# TeIrSe4, relaxed, DFT PBE-GGA
data_TeIrSe4
_chemical_formula_sum 'Te1 Ir1 Se4'
_cell_length_a 5.628
_cell_length_b 5.628
_cell_length_c 5.628
_cell_angle_alpha 60.00
_cell_angle_beta 60.00
_cell_angle_gamma 60.00
_symmetry_space_group_name_H-M 'P 1'
_symmetry_Int_Tables_number 1
loop_
_symmetry_equiv_pos_as_xyz
'x,y,z'
loop_
_atom_site_label
_atom_site_fract_x
_atom_site_fract_y
_atom_site_fract_z
Te1 0.000 0.000 0.000
Ir1 0.750 0.750 0.750
Se1 0.379 0.379 0.379
Se2 0.379 0.379 0.864
Se3 0.379 0.864 0.379
Se4 0.864 0.379 0.379
# **Fermi-level density of states**: 7.139 states/eV/cell
# **Uncorrected energy**: -3.17 eV per atom
# **Raw formation energy**: 1.15 eV per atom

[3]
# KErAgI6, relaxed, DFT PBE-GGA
data_KErAgI6
_chemical_formula_sum 'K1 Er1 Ag1 I6'
_cell_length_a 7.585
_cell_length_b 7.585
_cell_length_c 7.823
_cell_angle_alpha 93.14
_cell_angle_beta 93.16
_cell_angle_gamma 114.24
_symmetry_space_group_name_H-M 'P 1'
_symmetry_Int_Tables_number 1
loop_
_symmetry_equiv_pos_as_xyz
'x,y,z'
loop_
_atom_site_label
_atom_site_fract_x
_atom_site_fract_y
_atom_site_fract_z
K1 0.000 0.000 0.000
Er1 0.334 0.666 0.500
Ag1 0.683 0.320 0.499
I1 0.021 0.623 0.243
I2 0.029 0.357 0.689
I3 0.377 0.979 0.757
I4 0.409 0.372 0.265
I5 0.629 0.591 0.734
I6 0.643 0.972 0.310
# **Fermi-level density of states**: 5.852 states/eV/cell
# **Uncorrected energy**: -2.92 eV per atom
# **Raw formation energy**: -0.94 eV per atom

[4]
# CdSiGeN, relaxed, DFT PBE-GGA
data_CdSiGeN
_chemical_formula_sum 'Cd2 Si2 Ge2 N2'
_cell_length_a 9.071
_cell_length_b 3.039
_cell_length_c 6.980
_cell_angle_alpha 90.00
_cell_angle_beta 116.46
_cell_angle_gamma 90.00
_symmetry_space_group_name_H-M 'P 1'
_symmetry_Int_Tables_number 1
loop_
_symmetry_equiv_pos_as_xyz
'x,y,z'
loop_
_atom_site_label
_atom_site_fract_x
_atom_site_fract_y
_atom_site_fract_z
Cd1 0.000 0.000 0.000
Cd2 0.500 0.500 0.000
Si1 0.108 0.500 0.359
Si2 0.608 0.000 0.359
Ge1 0.408 0.500 0.582
Ge2 0.908 0.000 0.582
N1 0.488 0.000 0.495
N2 0.988 0.500 0.495
# **Fermi-level density of states**: 1.290 states/eV/cell
# **Uncorrected energy**: -4.65 eV per atom
# **Raw formation energy**: 0.17 eV per atom